A relaxed structure of NiF4, computed with PBE with a Hubbard U.

It has space group Pm-3m (No. 221), with a = 3.844 Å, b = 3.844 Å, c = 3.844 Å, α = 90.00°, β = 90.00° and γ = 90.00°. The distinct sites, in fractional coordinates, are Ni at (0.000, 0.000, 0.000), F at (0.000, 0.000, 0.500) and F at (0.500, 0.500, 0.500).

The volume is 56.8 Å³ per cell. As for the magnetic moment: 2.9 Bohr magnetons per cell. As for the crystal system: cubic. The total energy is -15.26 eV per cell.